(1)
This record from Alexandria describes an optimized crystal structure of K4HgAs2. The functional is PBE-GGA.

Cell and atoms, written as POSCAR:
```
K4HgAs2
1.0
2.896 1.672 9.393
-2.896 1.672 9.393
0.000 -3.345 9.393
K Hg As
4 1 2
Direct
0.110 0.110 0.110
0.292 0.292 0.292
0.708 0.708 0.708
0.890 0.890 0.890
0.500 0.500 0.500
0.410 0.410 0.410
0.590 0.590 0.590
```

Values from the calculation:
- energy (eV/atom) = -2.447
- energy of formation from the pure elements (meV per atom) = -448.6

(2)
This record from Alexandria describes an optimized crystal structure of TiMoBr2. The functional is PBE-GGA.

Cell and atoms, written as POSCAR:
```
TiMoBr2
1.0
6.507 0.000 0.000
0.000 6.507 0.000
0.000 0.000 6.507
Ti Mo Br
4 4 8
Direct
0.000 0.000 0.000
0.000 0.500 0.500
0.500 0.000 0.500
0.500 0.500 0.000
0.000 0.000 0.500
0.000 0.500 0.000
0.500 0.000 0.000
0.500 0.500 0.500
0.250 0.250 0.250
0.250 0.250 0.750
0.250 0.750 0.250
0.250 0.750 0.750
0.750 0.250 0.250
0.750 0.250 0.750
0.750 0.750 0.250
0.750 0.750 0.750
```

Values from the calculation:
- energy above the lowest structure with this stoichiometry (eV/atom) = 0.392
- energy relative to the elements, uncorrected (eV/atom) = 0.543
- energy (eV/atom) = -4.975

(3)
This record from Alexandria describes an optimized crystal structure of RbTlPO2. The functional is PBE-GGA.

Cell and atoms, written as POSCAR:
```
RbTlPO2
1.0
4.470 0.000 0.000
0.000 4.470 0.000
0.000 0.000 6.643
Rb Tl P O
1 1 1 2
Direct
0.000 0.000 0.000
0.500 0.500 0.500
0.000 0.000 0.500
0.000 0.500 0.000
0.500 0.000 0.000
```

Values from the calculation:
- energy above the lowest structure with this stoichiometry (eV/atom) = 0.786
- energy relative to the elements, uncorrected (eV/atom) = 0.946
- energy (eV/atom) = -2.786